# Ti15Tl2Zn2 | Alexandria via LeMat-Bulk | PBE | optimized geometry
data_Ti15Tl2Zn2
_chemical_formula_sum 'Ti45 Tl6 Zn6'
_symmetry_space_group_name_H-M 'R -3 m'
_symmetry_Int_Tables_number 166
_symmetry_space_group_name_Hall '-R 3 2"'
_cell_length_a 9.0501
_cell_length_b 9.0501
_cell_length_c 14.5912
_cell_angle_alpha 90.00
_cell_angle_beta 90.00
_cell_angle_gamma 120.00
loop_
_atom_site_label
_atom_site_fract_x
_atom_site_fract_y
_atom_site_fract_z
Ti1 0.0000 0.2978 0.0000
Ti2 0.0000 0.5000 0.5000
Ti3 0.0242 0.5121 0.1379
Tl1 0.0000 0.0000 0.3117
Zn1 0.0000 0.0000 0.0899
# Calculated formation energy   282 meV per atom
# V   345.0 Å³/f.u.